Computed, not measured: a geometry-optimized FeMo2H2 structure at the PBE level of DFT.

Cell: 5.8554 5.8554 2.7289 Å, 90.00 90.00 90.00°
Closest atoms and distances in Å follow each position.
Space group P4/mbm (No. 127)
Inequivalent atoms, fractional coordinates:
Fe 0.0000 0.0000 0.0000  4 H 2.22
Mo 0.1565 0.3435 0.5000  6 H 2.08-2.28
H 0.1545 0.6545 0.0000  6 Mo 2.08-2.28, 2 Fe 2.22

Offset from the most stable computed form (meV per atom): 111